Record 1
First-principles (PBE-GGA) data for an optimized crystal structure of TbPm5Y3, as listed in Alexandria.

Cell lengths 9.628, 9.628, 11.779 Å; angles 52.84, 52.84, 74.68 degrees
Element x y z (fractional)
Tb 0.156 0.156 0.592
Tb 0.844 0.844 0.408
Pm 0.846 0.343 0.256
Pm 0.253 0.747 0.000
Pm 0.822 0.822 0.953
Pm 0.492 0.492 0.237
Pm 0.508 0.508 0.763
Pm 0.178 0.178 0.047
Pm 0.343 0.846 0.256
Pm 0.747 0.253 0.000
Pm 0.154 0.657 0.744
Pm 0.657 0.154 0.744
Y 0.683 0.683 0.825
Y 0.662 0.662 0.353
Y 0.000 0.000 0.000
Y 0.000 0.000 0.500
Y 0.317 0.317 0.175
Y 0.338 0.338 0.647

Summary:
Electronic total energy ... -86.64 eV for the cell shown
Mass density ... 5580 kg/m3
Relative energy among the computed polymorphs ... 0.369 eV per atom
V ... 38.0 Å³/atom
Space-group type ... C2/m, No. 12
ΔE_f ... 0.495 eV per atom
Fermi-level density of states ... 1.5761 states/eV/atom

Record 2
First-principles (PBE-GGA) data for an optimized crystal structure of TbPm10Y6, as listed in Alexandria.

Cell lengths 6.911, 9.840, 9.840 Å; angles 120.00, 90.00, 90.00 degrees
Element x y z (fractional)
Tb 0.500 0.000 0.000
Pm 0.817 0.725 0.725
Pm 0.817 0.000 0.275
Pm 0.817 0.275 0.000
Pm 0.183 0.275 0.275
Pm 0.183 0.000 0.725
Pm 0.183 0.725 0.000
Pm 0.500 0.333 0.667
Pm 0.500 0.667 0.333
Pm 0.000 0.667 0.333
Pm 0.000 0.333 0.667
Y 0.692 0.371 0.371
Y 0.692 0.000 0.629
Y 0.692 0.629 0.000
Y 0.308 0.629 0.629
Y 0.308 0.000 0.371
Y 0.308 0.371 0.000

Summary:
Electronic total energy ... -88.69 eV for the cell shown
Mass density ... 6138 kg/m3
V ... 34.1 Å³/atom
Space-group type ... P-31m, No. 162
ΔE_f ... 0.131 eV per atom
Fermi-level density of states ... 1.5052 states/eV/atom

Record 3
First-principles (PBE-GGA) data for an optimized crystal structure of Tb5PmY, as listed in Alexandria.

Cell lengths 5.805, 7.924, 7.924 Å; angles 66.06, 68.51, 68.51 degrees
Element x y z (fractional)
Tb 0.500 0.178 0.822
Tb 0.500 0.822 0.178
Tb 0.745 0.255 0.255
Tb 0.255 0.745 0.745
Tb 0.000 0.500 0.500
Pm 0.500 0.500 0.500
Y 0.000 0.000 0.000

Summary:
Electronic total energy ... -26.84 eV for the cell shown
Mass density ... 5700 kg/m3
Relative energy among the computed polymorphs ... 0.896 eV per atom
V ... 42.8 Å³/atom
Space-group type ... Immm, No. 71
ΔE_f ... 1.075 eV per atom
Fermi-level density of states ... 1.3840 states/eV/atom